{"formula": "CuAg3Pd", "functional": "GGA-PBEsol", "state": "optimized geometry", "final_energy_ev_per_atom": -3.22, "ef_ev_per_atom": 0.823, "magnetic_moment_mub_per_cell": 0.00, "space_group": "Pm-3m, No. 221", "n_ef_per_ev_atom": 0.3490, "lattice_angstrom": [[4.592, 0.000, 0.000], [0.000, 4.592, 0.000], [0.000, 0.000, 4.592]], "species": ["Cu", "Ag", "Ag", "Ag", "Pd"], "fractional_positions": [[0.000, 0.000, 0.000], [0.000, 0.000, 0.500], [0.000, 0.500, 0.000], [0.500, 0.000, 0.000], [0.500, 0.500, 0.500]]}

***

{"formula": "Cu2AgPd2", "functional": "GGA-PBEsol", "state": "optimized geometry", "final_energy_ev_per_atom": -4.76, "ef_ev_per_atom": 0.015, "magnetic_moment_mub_per_cell": 0.00, "space_group": "P4/mbm, No. 127", "n_ef_per_ev_atom": 0.4356, "lattice_angstrom": [[7.039, 0.000, 0.000], [0.000, 7.039, 0.000], [0.000, 0.000, 2.842]], "species": ["Cu", "Cu", "Cu", "Cu", "Ag", "Ag", "Pd", "Pd", "Pd", "Pd"], "fractional_positions": [[0.126, 0.374, 0.000], [0.374, 0.874, 0.000], [0.626, 0.126, 0.000], [0.874, 0.626, 0.000], [0.000, 0.000, 0.000], [0.500, 0.500, 0.000], [0.170, 0.670, 0.500], [0.330, 0.170, 0.500], [0.670, 0.830, 0.500], [0.830, 0.330, 0.500]]}

***

{"formula": "CuSiAg2Pd", "functional": "GGA-PBEsol", "state": "optimized geometry", "e_form_raw_ev_per_atom": 0.8768, "final_energy_ev_per_atom": -3.66, "magnetic_moment_mub_per_cell": 0.00, "space_group": "P4/mmm, No. 123", "n_ef_per_ev_atom": 0.4183, "lattice_angstrom": [[4.582, 0.000, 0.000], [0.000, 4.582, 0.000], [0.000, 0.000, 4.572]], "species": ["Cu", "Si", "Ag", "Ag", "Pd"], "fractional_positions": [[0.000, 0.000, 0.000], [0.500, 0.500, 0.500], [0.000, 0.500, 0.000], [0.500, 0.000, 0.000], [0.000, 0.000, 0.500]]}

***

{"formula": "CuTcAgPd2", "functional": "GGA-PBEsol", "state": "optimized geometry", "final_energy_ev_per_atom": -4.83, "ef_ev_per_atom": 1.339, "magnetic_moment_mub_per_cell": 0.00, "space_group": "P4/mmm, No. 123", "n_ef_per_ev_atom": 1.0120, "lattice_angstrom": [[4.646, 0.000, 0.000], [0.000, 4.646, 0.000], [0.000, 0.000, 4.580]], "species": ["Cu", "Tc", "Ag", "Pd", "Pd"], "fractional_positions": [[0.000, 0.000, 0.000], [0.000, 0.000, 0.500], [0.500, 0.500, 0.000], [0.000, 0.500, 0.500], [0.500, 0.000, 0.500]]}